Computed, not measured: HgW after structural relaxation at the GGA-PBE level of DFT.

Computed properties:
offset from the most stable computed form = 208 meV/atom
D(E_F) = 1.300 states/eV/atom
magnetization = 0.000 μB per atom
crystal system = tetragonal

abc: 2.9030 2.9030 9.0224
angles: 90.00 90.00 90.00
Closest atoms and distances in Å follow each position.
Fractional coordinates of all 4 atoms:
1 W 0.2500 0.2500 0.6045  8 W 2.79-2.90, 4 Hg 3.05
2 W 0.7500 0.7500 0.3955  8 W 2.79-2.90, 4 Hg 3.05
3 Hg 0.7500 0.7500 0.8552  4 Hg 2.90, 4 W 3.05
4 Hg 0.2500 0.2500 0.1448  4 Hg 2.90, 4 W 3.05